11
Lattice="6.6559 0.0121 0.0446 -3.2792 5.7920 0.0446 -1.2243 -2.1045 6.7871" Properties=species:S:1:pos:R:3 comment="Na2ScSb2S6, relaxed, DFT PBE-GGA" total_energy_ev_per_atom=-4.72 density_g_cm3=3.32 raw_formation_energy_ev_per_atom=-0.90 pbc="T T T"
Na 4.9614 0.9979 0.0446
Na -1.5848 4.8063 0.0446
Sc -0.6122 -1.0523 3.3936
Sb -0.5929 2.8208 3.4381
Sb 2.7452 0.8788 3.4381
S 1.6899 2.9047 4.9233
S -1.7016 0.8025 4.8845
S 0.4625 0.7949 1.9530
S 1.5387 -1.0826 4.8845
S 3.8540 2.8971 1.9918
S 0.6136 4.7822 1.9918